{"formula": "NdP5", "functional": "PBE-GGA", "state": "relaxed", "cell": [[5.0518, 0.0000, 0.0000], [0.0000, 9.5961, 0.0000], [-1.1416, 0.0000, 5.3491]], "species": ["Nd", "Nd", "P", "P", "P", "P", "P", "P", "P", "P", "P", "P"], "fractional_positions": [[0.0084, 0.2500, 0.3481], [0.9916, 0.7500, 0.6519], [0.2883, 0.2500, 0.8994], [0.2927, 0.5298, 0.4029], [0.2927, 0.9702, 0.4029], [0.3851, 0.5907, 0.0476], [0.3851, 0.9093, 0.0476], [0.6149, 0.0907, 0.9524], [0.6149, 0.4093, 0.9524], [0.7073, 0.0298, 0.5971], [0.7073, 0.4702, 0.5971], [0.7117, 0.7500, 0.1006]], "spacegroup": "P2_1/m (11)", "magmom_total_mub_per_fu": 0.00, "e_form_mev_per_atom": -536}

{"formula": "TlTcSb", "functional": "PBE-GGA", "state": "relaxed", "cell": [[4.6104, 0.0000, 0.0000], [-2.3052, 3.9927, 0.0000], [0.0000, 0.0000, 3.6236]], "species": ["Tl", "Tc", "Sb"], "fractional_positions": [[0.0000, 0.0000, 0.0000], [0.6667, 0.3333, 0.5027], [0.3333, 0.6667, 0.4998]], "total_energy_ev_per_atom": -5.00, "spacegroup": "P3m1 (156)", "magmom_total_mub_per_fu": 0.00}

{"formula": "Ac3Nd4Zn", "functional": "PBE-GGA", "state": "relaxed", "cell": [[3.8118, 0.0000, 0.0000], [0.0000, 3.8118, 0.0000], [0.0000, 0.0000, 19.7661]], "species": ["Ac", "Ac", "Ac", "Nd", "Nd", "Nd", "Nd", "Zn"], "fractional_positions": [[0.0000, 0.0000, 0.0000], [0.0000, 0.0000, 0.2730], [0.0000, 0.0000, 0.7270], [0.5000, 0.5000, 0.1359], [0.5000, 0.5000, 0.4102], [0.5000, 0.5000, 0.5898], [0.5000, 0.5000, 0.8641], [0.0000, 0.0000, 0.5000]], "spacegroup": "P4/mmm (123)", "magmom_total_mub_per_fu": 0.00, "e_form_mev_per_atom": -52}

{"formula": "K3PmEr2Te6", "functional": "PBE-GGA", "state": "relaxed", "cell": [[3.9047, -6.7633, 0.0000], [3.9047, 6.7633, 0.0000], [-2.6062, 0.0000, 8.2447]], "species": ["K", "K", "K", "Pm", "Er", "Er", "Te", "Te", "Te", "Te", "Te", "Te"], "fractional_positions": [[0.0000, 0.0000, 0.0000], [0.3354, 0.6646, 0.0000], [0.6646, 0.3354, 0.0000], [0.5000, 0.5000, 0.5000], [0.1669, 0.8331, 0.5000], [0.8331, 0.1669, 0.5000], [0.0893, 0.4302, 0.2909], [0.2285, 0.2285, 0.7086], [0.4302, 0.0893, 0.2909], [0.5698, 0.9107, 0.7091], [0.7715, 0.7715, 0.2914], [0.9107, 0.5698, 0.7091]], "total_energy_ev_per_atom": -4.39, "spacegroup": "C2/m (12)", "magmom_total_mub_per_fu": 0.00}